1.
## SrNd2N (PBE)

Data for a relaxed SrNd2N crystal.

Values from the calculation:
- Crystal system: trigonal
- E_tot: -5.42 eV per atom

abc: 3.6946 3.6946 10.3465
angles: 79.72 79.72 60.00
Atoms (fractional coordinates):
Sr 0.0000 0.0000 0.0000
N 0.5000 0.5000 0.5000
Nd 0.1219 0.1219 0.6344
Nd 0.8781 0.8781 0.3656

=====

2.
## PrMg3Tl2 (PBE)

Data for a relaxed PrMg3Tl2 crystal.

Values from the calculation:
- Crystal system: monoclinic
- DFT formation energy: -0.19 eV/atom

abc: 4.8576 9.6395 7.8548
angles: 118.41 90.00 104.59
Atoms (fractional coordinates):
Mg 0.9293 0.8587 0.5570
Mg 0.3686 0.7373 0.2443
Mg 0.0707 0.1413 0.4430
Mg 0.6968 0.3936 0.4734
Mg 0.6314 0.2627 0.7557
Mg 0.3032 0.6064 0.5266
Tl 0.2370 0.4740 0.8010
Tl 0.4824 0.9648 0.7883
Tl 0.7630 0.5260 0.1990
Tl 0.5176 0.0352 0.2117
Pr 0.1185 0.2371 0.0551
Pr 0.8815 0.7629 0.9449

=====

3.
## ThAsHPd (PBE)

Data for a relaxed ThAsHPd crystal.

Values from the calculation:
- Crystal system: hexagonal
- E_tot: -6.09 eV per atom

abc: 4.3756 4.3757 4.0017
angles: 90.00 90.00 120.00
Atoms (fractional coordinates):
Pd 0.2386 0.4771 0.8094
H 0.2386 0.4772 0.3096
Th 0.5719 0.1438 0.3099
As 0.9052 0.8105 0.8102

=====

4.
## PmPuCuO6 (PBE)

Data for a relaxed PmPuCuO6 crystal.

Values from the calculation:
- Crystal system: trigonal
- E_tot: -8.07 eV per atom

abc: 5.2897 5.2897 10.3829
angles: 90.00 90.00 120.00
Each line ends with the local moment (μB).
Atoms (fractional coordinates):
O 0.9917 0.6413 0.3602  0.15
O 0.6495 0.0083 0.3602  0.15
O 0.3505 0.9917 0.6398  0.15
O 0.3505 0.3587 0.8602  0.15
O 0.6413 0.9917 0.8602  0.15
O 0.6495 0.6413 0.1398  0.15
O 0.9917 0.3504 0.1398  0.15
O 0.0083 0.3587 0.6398  0.15
O 0.0083 0.6496 0.8602  0.15
O 0.3587 0.0083 0.1398  0.15
O 0.3587 0.3504 0.3602  0.15
O 0.6413 0.6496 0.6398  0.15
Cu 0.3333 0.6667 0.2500  0.65
Cu 0.6667 0.3333 0.7500  0.65
Pu 0.3333 0.6667 0.7500  -1.70
Pu 0.6667 0.3333 0.2500  -1.70
Pm 0.0000 0.0000 0.0000  0.02
Pm 0.0000 0.0000 0.5000  0.02

=====

Which D(E_F) belongs to each record? In order, 4.8 5.1 0.7 9.6 states/eV/cell.